Here is a geometry-optimized MgTeF3 structure from the Alexandria database. Energies are from PBE.

Properties
E ... -4.110 eV per atom
Crystal system ... cubic

Cell lengths 4.2072, 4.2072, 4.2072 Å; angles 90.00, 90.00, 90.00 degrees
Positions (direct):
F (0.0000, 0.5000, 0.0000)
F (0.5000, 0.0000, 0.0000)
Te (0.5000, 0.5000, 0.5000)
Mg (0.0000, 0.0000, 0.0000)
F (0.0000, 0.0000, 0.5000)